# MgTl2Pb2 PBE optimized geometry
# Final energy   -26.7 eV per cell
# ΔE to the lowest computed polymorph   91.6 meV/atom
# E_form   0.076 eV/atom
data_MgTl2Pb2
_chemical_formula_sum 'Mg2 Tl4 Pb4'
_symmetry_space_group_name_H-M 'P 1'
_symmetry_Int_Tables_number 1
_symmetry_space_group_name_Hall 'P 1'
_cell_length_a 7.922
_cell_length_b 7.922
_cell_length_c 5.004
_cell_angle_alpha 90.00
_cell_angle_beta 90.00
_cell_angle_gamma 90.00
loop_
_atom_site_label
_atom_site_type_symbol
_atom_site_fract_x
_atom_site_fract_y
_atom_site_fract_z
Mg1 Mg 0.000 0.000 0.000
Mg2 Mg 0.500 0.500 0.000
Tl1 Tl 0.161 0.339 0.500
Tl2 Tl 0.339 0.839 0.500
Tl3 Tl 0.661 0.161 0.500
Tl4 Tl 0.839 0.661 0.500
Pb1 Pb 0.144 0.644 0.000
Pb2 Pb 0.356 0.144 0.000
Pb3 Pb 0.644 0.856 0.000
Pb4 Pb 0.856 0.356 0.000